Density functional theory data (PBE-GGA) for a relaxed Sr3LiRh crystal.

a = 14.392 Å, b = 4.338 Å, c = 11.207 Å
α = 90.00°, β = 97.90°, γ = 90.00°
Space group Cm (No. 8)
Unique sites:
Sr  0.000  0.000  0.000 x2
Sr  0.007  0.000  0.331 x2
Sr  0.159  0.000  0.722 x2
Sr  0.227  0.500  0.464 x2
Sr  0.252  0.000  0.187 x2
Sr  0.421  0.000  0.663 x2
Li  0.197  0.500  0.962 x2
Li  0.330  0.000  0.909 x2
Rh  0.106  0.500  0.188 x2
Rh  0.308  0.500  0.773 x2

Summary:
Calculated formation energy, eV/atom: -0.1312
Energy relative to the lowest polymorph listed for this composition, meV/atom: 16